[1]
Computed, not measured: an optimized crystal structure of BaAsIO6 at the PBE-GGA level of DFT. Values from VASP.

Geometry as Quantum ESPRESSO input:
```
&SYSTEM
  ibrav = 0, nat = 9, ntyp = 4
/
ATOMIC_SPECIES
Ba 137.33 Ba.upf
As 74.92 As.upf
I 126.90 I.upf
O 16.00 O.upf
CELL_PARAMETERS angstrom
5.252 0.000 0.000
0.186 5.544 0.000
2.609 0.002 5.247
ATOMIC_POSITIONS angstrom
Ba 0.000 0.000 0.000
As 5.331 2.777 3.331
I 2.710 2.777 1.767
O 1.867 1.709 3.143
O 2.149 1.571 0.485
O 3.573 3.843 3.144
O 3.263 3.993 0.489
O 4.401 1.756 2.007
O 6.279 3.807 2.024
```

Calculated values
Uncorrected energy (eV/atom): -5.3666
D(E_F) (states/eV/cell): 0.0
Formation energy (no corrections) (eV per atom): -1.1586



[2]
Computed, not measured: an optimized crystal structure of Mg2CoOs at the PBE-GGA level of DFT. Values from VASP.

Geometry as Quantum ESPRESSO input:
```
&SYSTEM
  ibrav = 0, nat = 4, ntyp = 3
/
ATOMIC_SPECIES
Mg 24.30 Mg.upf
Co 58.93 Co.upf
Os 190.23 Os.upf
CELL_PARAMETERS angstrom
2.663 0.000 0.000
0.000 4.308 0.000
-1.100 0.000 5.170
ATOMIC_POSITIONS angstrom
Mg 0.275 0.000 1.305
Mg 1.288 0.000 3.865
Co -0.550 2.154 2.585
Os 1.332 2.154 0.000
```

Calculated values
Uncorrected energy (eV/atom): -5.1211
D(E_F) (states/eV/cell): 3.2
Distance to the lowest polymorph of the same formula (kJ/mol of formula units): 60.9
E_form (eV per atom): 0.26



[3]
Computed, not measured: an optimized crystal structure of YSiCl2 at the PBE-GGA level of DFT. Values from VASP.

Geometry as Quantum ESPRESSO input:
```
&SYSTEM
  ibrav = 0, nat = 4, ntyp = 3
/
ATOMIC_SPECIES
Y 88.91 Y.upf
Si 28.09 Si.upf
Cl 35.45 Cl.upf
CELL_PARAMETERS angstrom
4.385 0.000 0.000
0.000 4.385 0.000
0.000 0.000 4.474
ATOMIC_POSITIONS angstrom
Y 0.000 0.000 0.000
Si 2.193 2.193 0.000
Cl 0.000 2.193 2.237
Cl 2.193 0.000 2.237
```

Calculated values
Uncorrected energy (eV/atom): -4.5395
D(E_F) (states/eV/cell): 1.7
Distance to the lowest polymorph of the same formula (kJ/mol of formula units): 155.1
Formation energy (no corrections) (eV per atom): -0.6444



[4]
Computed, not measured: an optimized crystal structure of RbCSeN2 at the PBE-GGA level of DFT. Values from VASP.

Geometry as Quantum ESPRESSO input:
```
&SYSTEM
  ibrav = 0, nat = 5, ntyp = 4
/
ATOMIC_SPECIES
Rb 85.47 Rb.upf
C 12.01 C.upf
Se 78.96 Se.upf
N 14.01 N.upf
CELL_PARAMETERS angstrom
4.586 0.000 0.000
0.000 4.586 0.000
0.000 0.000 4.268
ATOMIC_POSITIONS angstrom
Rb 0.000 0.000 0.000
C 2.293 2.293 2.134
Se 2.293 2.293 0.000
N 0.000 2.293 2.134
N 2.293 0.000 2.134
```

Calculated values
Uncorrected energy (eV/atom): -3.7806
D(E_F) (states/eV/cell): 2.3
Distance to the lowest polymorph of the same formula (kJ/mol of formula units): 0.0
Formation energy (no corrections) (eV per atom): 2.2848



Which formula does entry 3 have? YSiCl2



The highest D(E_F) belongs to which entry? Mg2CoOs



Please write out number 4 again, unchanged.
Computed, not measured: an optimized crystal structure of RbCSeN2 at the PBE-GGA level of DFT. Values from VASP.

Geometry as Quantum ESPRESSO input:
```
&SYSTEM
  ibrav = 0, nat = 5, ntyp = 4
/
ATOMIC_SPECIES
Rb 85.47 Rb.upf
C 12.01 C.upf
Se 78.96 Se.upf
N 14.01 N.upf
CELL_PARAMETERS angstrom
4.586 0.000 0.000
0.000 4.586 0.000
0.000 0.000 4.268
ATOMIC_POSITIONS angstrom
Rb 0.000 0.000 0.000
C 2.293 2.293 2.134
Se 2.293 2.293 0.000
N 0.000 2.293 2.134
N 2.293 0.000 2.134
```

Calculated values
Uncorrected energy (eV/atom): -3.7806
D(E_F) (states/eV/cell): 2.3
Distance to the lowest polymorph of the same formula (kJ/mol of formula units): 0.0
Formation energy (no corrections) (eV per atom): 2.2848



Which of these has the highest D(E_F)? Mg2CoOs